# 1
A plane-wave DFT calculation with GGA-PBE was carried out for an optimized crystal structure of Na3SbRh2O6.

Results
- density (g/cm³) = 5.5
- space group = No. 12
- energy relative to the elements, uncorrected (kJ/mol of formula units) = -1292
- size of the total moment (μB/atom) = 0.00
- V (Å³ per cell) = 148

Cell lengths 5.6267, 5.6267, 5.7128 Å; angles 99.36, 99.36, 120.06 degrees
Closest atoms and distances in Å follow each position.
Fractional positions:
Na (0.1713, 0.8287, 0.5000)  6 O 2.35-2.53
Na (0.8287, 0.1713, 0.5000)  6 O 2.35-2.53
Na (0.5000, 0.5000, 0.5000)  6 O 2.37-2.50
Sb (0.0000, 0.0000, 0.0000)  6 O 2.27
Rh (0.3333, 0.6667, 0.0000)  6 O 2.14
Rh (0.6667, 0.3333, 0.0000)  6 O 2.14
O (0.9317, 0.5803, 0.7942)  2 Rh 2.14, 1 Sb 2.27, 1 Na 2.35
O (0.7169, 0.7169, 0.2078)  2 Rh 2.14, 1 Sb 2.27, 1 Na 2.37
O (0.0683, 0.4197, 0.2058)  2 Rh 2.14, 1 Sb 2.27, 1 Na 2.35
O (0.5803, 0.9317, 0.7942)  2 Rh 2.14, 1 Sb 2.27, 1 Na 2.35
O (0.2831, 0.2831, 0.7922)  2 Rh 2.14, 1 Sb 2.27, 1 Na 2.37
O (0.4197, 0.0683, 0.2058)  2 Rh 2.14, 1 Sb 2.27, 1 Na 2.35

***

# 2
A plane-wave DFT calculation with GGA-PBE was carried out for an optimized crystal structure of HfZnGa.

Results
- density (g/cm³) = 10.0
- space group = No. 107
- size of the total moment (μB/atom) = 0.00
- energy relative to the elements (eV per atom) = -0.1889
- V (Å³ per cell) = 52

Cell lengths 3.0944, 3.0944, 5.8818 Å; angles 105.25, 105.25, 90.00 degrees
Closest atoms and distances in Å follow each position.
Fractional positions:
Zn (0.0099, 0.0099, 0.0198)  4 Ga 2.70, 4 Hf 2.90
Hf (0.3349, 0.3349, 0.6698)  4 Zn 2.90, 4 Ga 2.94, 4 Hf 3.09
Ga (0.6552, 0.6552, 0.3104)  4 Zn 2.70, 4 Hf 2.94

***

# 3
A plane-wave DFT calculation with GGA-PBE was carried out for an optimized crystal structure of ZnCdAgCl5.

Results
- density (g/cm³) = 3.6
- space group = No. 15
- energy relative to the elements, uncorrected (kJ/mol of formula units) = -702
- size of the total moment (μB/atom) = 0.00
- V (Å³ per cell) = 427

Cell lengths 7.0641, 7.0641, 9.6945 Å; angles 106.88, 106.88, 99.18 degrees
Closest atoms and distances in Å follow each position.
Fractional positions:
Zn (0.6755, 0.3245, 0.2500)  4 Cl 2.26-2.31
Zn (0.3245, 0.6755, 0.7500)  4 Cl 2.26-2.31
Cd (0.0000, 0.0000, 0.5000)  6 Cl 2.61-2.76
Cd (0.0000, 0.0000, 0.0000)  6 Cl 2.61-2.76
Ag (0.3446, 0.6554, 0.2500)  3 Cl 2.56-2.72
Ag (0.6554, 0.3446, 0.7500)  3 Cl 2.56-2.72
Cl (0.1068, 0.8932, 0.2500)  1 Ag 2.56, 2 Cd 2.68
Cl (0.8932, 0.1068, 0.7500)  1 Ag 2.56, 2 Cd 2.68
Cl (0.9123, 0.3343, 0.1356)  1 Zn 2.26
Cl (0.0877, 0.6657, 0.8644)  1 Zn 2.26
Cl (0.6657, 0.0877, 0.3644)  1 Zn 2.26
Cl (0.3343, 0.9123, 0.6356)  1 Zn 2.26
Cl (0.7128, 0.6385, 0.4297)  1 Zn 2.31
Cl (0.2872, 0.3615, 0.5703)  1 Zn 2.31
Cl (0.3615, 0.2872, 0.0703)  1 Zn 2.31
Cl (0.6385, 0.7128, 0.9297)  1 Zn 2.31

***

# 4
A plane-wave DFT calculation with GGA-PBE was carried out for an optimized crystal structure of CsCdSb.

Results
- density (g/cm³) = 4.0
- space group = No. 71
- energy relative to the elements, uncorrected (kJ/mol of formula units) = -50
- size of the total moment (μB/atom) = 0.00
- V (Å³ per cell) = 306

Cell lengths 5.7008, 5.7644, 10.1662 Å; angles 106.47, 106.28, 90.00 degrees
Closest atoms and distances in Å follow each position.
Fractional positions:
Cs (0.6564, 0.1564, 0.3127)  5 Sb 3.99-4.08, 4 Cd 4.34
Cs (0.3436, 0.8436, 0.6873)  5 Sb 3.99-4.08, 4 Cd 4.34
Cd (0.7476, 0.5000, 0.0000)  2 Sb 2.82, 2 Cd 2.82-2.88
Cd (0.2524, 0.5000, 0.0000)  2 Sb 2.82, 2 Cd 2.82-2.88
Sb (0.1298, 0.6298, 0.2595)  2 Cd 2.82
Sb (0.8702, 0.3702, 0.7405)  2 Cd 2.82

***

# 5
A plane-wave DFT calculation with GGA-PBE was carried out for an optimized crystal structure of Sm4InBiC.

Results
- density (g/cm³) = 7.7
- space group = No. 63
- size of the total moment (μB/atom) = 0.00
- energy relative to the elements (eV per atom) = -0.4980
- V (Å³ per cell) = 404

Cell lengths 7.0257, 7.0232, 8.9041 Å; angles 90.00, 113.24, 90.00 degrees
Closest atoms and distances in Å follow each position.
Fractional positions:
Sm (0.9112, 0.2500, 0.8223)  1 C 2.65
Sm (0.4066, 0.7500, 0.8132)  1 C 2.55
Sm (0.0888, 0.7500, 0.1777)  1 C 2.65
Sm (0.5934, 0.2500, 0.1868)  1 C 2.55
Sm (0.5000, 0.5000, 0.5000)  2 C 2.48
Sm (0.0000, 0.0000, 0.5000)  2 C 2.48
Sm (0.5000, 0.0000, 0.5000)  2 C 2.48
Sm (0.0000, 0.5000, 0.5000)  2 C 2.48
In (0.1125, 0.2500, 0.2250)  9 Sm 3.29-3.53
In (0.8875, 0.7500, 0.7750)  9 Sm 3.29-3.53
Bi (0.6076, 0.7500, 0.2152)  9 Sm 3.29-3.53
Bi (0.3924, 0.2500, 0.7848)  9 Sm 3.29-3.53
C (0.2507, 0.7500, 0.5013)  6 Sm 2.48-2.65
C (0.7493, 0.2500, 0.4987)  6 Sm 2.48-2.65

***

# 6
A plane-wave DFT calculation with GGA-PBE was carried out for an optimized crystal structure of K3W.

Results
- density (g/cm³) = 2.8
- polymorph energy (0 for the lowest one) (meV per atom) = 636
- space group = No. 25
- size of the total moment (μB/atom) = 1.17
- energy relative to the elements (eV per atom) = 1.5291
- V (Å³ per cell) = 176

Cell lengths 3.7050, 6.3744, 7.4579 Å; angles 90.00, 90.00, 90.00 degrees
Closest atoms and distances in Å follow each position.
Fractional positions:
K (0.0000, 0.0000, 0.0561)  4 K 3.71-3.77, 2 W 3.73
K (0.5000, 0.0000, 0.4963)  6 K 3.71-3.91, 4 W 3.93
K (0.5000, 0.5000, 0.7994)  4 K 3.71-3.91, 2 W 4.06
W (0.0000, 0.5000, 0.3149)  2 W 3.71, 8 K 3.73-4.06

***

# 7
A plane-wave DFT calculation with GGA-PBE was carried out for an optimized crystal structure of YIn2Ge2.

Results
- density (g/cm³) = 6.3
- space group = No. 139
- size of the total moment (μB/atom) = 0.00
- energy relative to the elements (eV per atom) = -0.1312
- V (Å³ per cell) = 123

Cell lengths 4.1742, 4.1742, 7.6491 Å; angles 74.17, 74.17, 90.00 degrees
Closest atoms and distances in Å follow each position.
Fractional positions:
Y (0.0000, 0.0000, 0.0000)  8 Ge 3.20
Ge (0.4119, 0.4119, 0.1762)  1 Ge 2.49
Ge (0.5881, 0.5881, 0.8238)  1 Ge 2.49
In (0.7500, 0.2500, 0.5000)  4 In 2.95, 4 Ge 3.09
In (0.2500, 0.7500, 0.5000)  4 In 2.95, 4 Ge 3.09

***

# 8
A plane-wave DFT calculation with GGA-PBE was carried out for an optimized crystal structure of MgMnAu.

Results
- density (g/cm³) = 7.3
- space group = No. 216
- size of the total moment (μB/atom) = 1.37
- energy relative to the elements (eV per atom) = 0.0042
- V (Å³ per cell) = 62

Cell lengths 4.4537, 4.4537, 4.4537 Å; angles 60.00, 60.00, 60.00 degrees
Closest atoms and distances in Å follow each position.
Fractional positions:
Au (0.7500, 0.7500, 0.7500)  4 Mg 2.73, 4 Mn 2.73
Mg (0.0000, 0.0000, 0.0000)  4 Au 2.73
Mn (0.5000, 0.5000, 0.5000)  4 Au 2.73